# 1
This record from Alexandria via LeMat-Bulk describes crystalline Rb3TeO3 at its relaxed geometry. The functional is PBE-GGA.

Summary:
- E_form (uncorrected): -1.16 eV per atom

Lattice parameters (Å, degrees): 8.7788 8.7788 5.9032 90.00 90.00 119.93
Fractional positions:
Rb1 0.1747 0.8253 0.7500
Rb2 0.1756 0.3504 0.7500
Rb3 0.3504 0.1756 0.2500
Rb4 0.6496 0.8244 0.7500
Rb5 0.8244 0.6496 0.2500
Rb6 0.8253 0.1747 0.2500
Te1 0.3331 0.6669 0.2500
Te2 0.6669 0.3331 0.7500
O1 0.1989 0.8011 0.2500
O2 0.1997 0.3988 0.2500
O3 0.3988 0.1997 0.7500
O4 0.6012 0.8003 0.2500
O5 0.8003 0.6012 0.7500
O6 0.8011 0.1989 0.7500

# 2
This record from Alexandria via LeMat-Bulk describes crystalline NiAuS2 at its relaxed geometry. The functional is PBE-GGA.

Summary:
- E_form (uncorrected): 0.20 eV per atom

Lattice parameters (Å, degrees): 5.8446 5.8446 5.8446 102.33 102.33 124.96
Fractional positions:
Ni1 0.2500 0.7500 0.5000
Ni2 0.7500 0.2500 0.5000
Au1 0.2500 0.2500 0.0000
Au2 0.7500 0.7500 0.0000
S1 0.1625 0.6625 0.8251
S2 0.3375 0.1625 0.5000
S3 0.6625 0.8375 0.5000
S4 0.8375 0.3375 0.1749

# 3
This record from Alexandria via LeMat-Bulk describes crystalline Hf4InP at its relaxed geometry. The functional is PBE-GGA.

Summary:
- Formation energy from the elements: -0.290 eV/atom

Lattice parameters (Å, degrees): 7.7549 7.7549 5.8247 101.25 101.25 124.27
Fractional positions:
Hf1 0.1234 0.6990 0.9443
Hf2 0.1831 0.3238 0.7002
Hf3 0.3010 0.8766 0.5557
Hf4 0.3238 0.1831 0.2002
Hf5 0.6762 0.8169 0.7998
Hf6 0.6990 0.1234 0.4443
Hf7 0.8169 0.6762 0.2998
Hf8 0.8766 0.3010 0.0557
In1 0.3931 0.6069 0.2500
In2 0.6069 0.3931 0.7500
P1 0.0577 0.9423 0.7500
P2 0.9423 0.0577 0.2500

no.,volume (Å³ per atom),magnetization (μB/f.u.),N(E_F) (states/eV per atom)
1,28.16,0.985,0.028
2,18.14,0.000,0.717
3,21.92,0.000,0.659